CsCoPO2 PBE+U optimized geometry; Fermi-level density of states = 3.87 states/eV per cell; space group = P4/mmm (123); crystal system = tetragonal; total energy = -3.052 eV/atom
1.0
4.185 0.000 0.000
0.000 4.185 0.000
0.000 0.000 7.261
P O Cs Co
1 2 1 1
direct
0.000 0.000 0.500
0.500 0.000 0.000
0.000 0.500 0.000
0.000 0.000 0.000
0.500 0.500 0.500